Crystalline BiPWS2 at its relaxed geometry. Source: the Alexandria database, functional GGA-PBE.

Cell and atoms, written as POSCAR:
```
BiPWS2
1.0
-1.238 4.314 -1.085
-1.087 -1.386 -4.268
-4.706 -0.970 1.514
P S Bi W
1 2 1 1
direct
0.000 0.000 0.500
0.000 0.500 0.000
0.500 0.000 0.000
0.500 0.500 0.500
0.000 0.000 0.000
```

ΔE to the lowest computed polymorph: 0.000 eV/atom